Record 1
VASP calculation (PBE) on crystalline Sc2Be2Sn at its relaxed geometry.

a = 6.4439 Å, b = 6.4439 Å, c = 4.0910 Å
α = 90.00°, β = 90.00°, γ = 90.00°
Last column: nearest neighbours and their distance in Å.
Element x y z (fractional)
Sc 0.1679 0.3321 0.0000  6 Be 2.77-2.83, 1 Sc 3.06
Sc 0.3321 0.8321 0.0000  6 Be 2.77-2.83, 1 Sc 3.06
Sc 0.6679 0.1679 0.0000  6 Be 2.77-2.83, 1 Sc 3.06
Sc 0.8321 0.6679 0.0000  6 Be 2.77-2.83, 1 Sc 3.06
Be 0.1175 0.6175 0.5000  1 Be 2.14
Be 0.3825 0.1175 0.5000  1 Be 2.14
Be 0.6175 0.8825 0.5000  1 Be 2.14
Be 0.8825 0.3825 0.5000  1 Be 2.14
Sn 0.0000 0.0000 0.5000  4 Be 2.58
Sn 0.5000 0.5000 0.5000  4 Be 2.58

Computed properties:
Formation energy in kJ/mol of formula units: -164
Size of the total moment in μB/f.u.: 0.00

=====

Record 2
VASP calculation (PBE) on crystalline Sc3BeSn at its relaxed geometry.

a = 4.7939 Å, b = 4.7939 Å, c = 4.7939 Å
α = 90.00°, β = 90.00°, γ = 90.00°
Last column: nearest neighbours and their distance in Å.
Element x y z (fractional)
Sc 0.0000 0.0000 0.5000  2 Be 2.40
Sc 0.0000 0.5000 0.0000  2 Be 2.40
Sc 0.5000 0.0000 0.0000  2 Be 2.40
Be 0.0000 0.0000 0.0000  6 Sc 2.40
Sn 0.5000 0.5000 0.5000  12 Sc 3.39

Computed properties:
Energy above the most stable polymorph in this dataset in kcal/mol of atoms: 0.000
Formation energy in kJ/mol of formula units: -76
Size of the total moment in μB/f.u.: 0.00

=====

Record 3
VASP calculation (PBE) on crystalline ScBeSn3 at its relaxed geometry.

a = 5.5146 Å, b = 5.5146 Å, c = 5.5146 Å
α = 90.00°, β = 90.00°, γ = 90.00°
Last column: nearest neighbours and their distance in Å.
Element x y z (fractional)
Sc 0.0000 0.0000 0.0000  6 Sn 2.76
Be 0.5000 0.5000 0.5000  12 Sn 3.90
Sn 0.0000 0.0000 0.5000  2 Sc 2.76
Sn 0.0000 0.5000 0.0000  2 Sc 2.76
Sn 0.5000 0.0000 0.0000  2 Sc 2.76

Computed properties:
Energy above the most stable polymorph in this dataset in kcal/mol of atoms: 14.096
Formation energy in kJ/mol of formula units: 422
Size of the total moment in μB/f.u.: 0.00

=====

Record 4
VASP calculation (PBE) on crystalline Sc2BeSn2 at its relaxed geometry.

a = 6.8550 Å, b = 6.8550 Å, c = 4.4789 Å
α = 90.00°, β = 90.00°, γ = 90.00°
Last column: nearest neighbours and their distance in Å.
Element x y z (fractional)
Sc 0.1671 0.3329 0.0000  6 Sn 2.88-3.11
Sc 0.3329 0.8329 0.0000  6 Sn 2.88-3.11
Sc 0.6671 0.1671 0.0000  6 Sn 2.88-3.11
Sc 0.8329 0.6671 0.0000  6 Sn 2.88-3.11
Be 0.0000 0.0000 0.5000  4 Sn 2.62
Be 0.5000 0.5000 0.5000  4 Sn 2.62
Sn 0.1466 0.6466 0.5000  2 Be 2.62, 1 Sn 2.84, 2 Sc 2.88
Sn 0.3534 0.1466 0.5000  2 Be 2.62, 1 Sn 2.84, 2 Sc 2.88
Sn 0.6466 0.8534 0.5000  2 Be 2.62, 1 Sn 2.84, 2 Sc 2.88
Sn 0.8534 0.3534 0.5000  2 Be 2.62, 1 Sn 2.84, 2 Sc 2.88

Computed properties:
Formation energy in kJ/mol of formula units: -139
Size of the total moment in μB/f.u.: 0.00

=====

Record 5
VASP calculation (PBE) on crystalline ScBe2Sn at its relaxed geometry.

a = 9.0151 Å, b = 9.0151 Å, c = 9.0151 Å
α = 152.80°, β = 152.80°, γ = 38.85°
Last column: nearest neighbours and their distance in Å.
Element x y z (fractional)
Sc 0.3750 0.6250 0.7500  4 Sn 3.00, 8 Be 3.18
Sc 0.6250 0.3750 0.2500  4 Sn 3.00, 8 Be 3.18
Be 0.0000 0.0000 0.0000  2 Be 2.12
Be 0.0000 0.0000 0.5000  2 Be 2.12
Be 0.0000 0.5000 0.0000  2 Be 2.12
Be 0.5000 0.0000 0.5000  2 Be 2.12
Sn 0.1250 0.8750 0.2500  4 Be 2.38
Sn 0.8750 0.1250 0.7500  4 Be 2.38

Computed properties:
Formation energy in kJ/mol of formula units: 117
Size of the total moment in μB/f.u.: 0.00

=====

Record 6
VASP calculation (PBE) on crystalline ScBe2Sn2 at its relaxed geometry.

a = 6.5011 Å, b = 6.5011 Å, c = 6.5011 Å
α = 144.14°, β = 144.14°, γ = 51.61°
Last column: nearest neighbours and their distance in Å.
Element x y z (fractional)
Sc 0.0000 0.0000 0.0000  8 Sn 3.17, 8 Be 3.55
Be 0.2500 0.7500 0.5000  4 Sn 2.50
Be 0.7500 0.2500 0.5000  4 Sn 2.50
Sn 0.3774 0.3774 0.0000  4 Be 2.50
Sn 0.6226 0.6226 0.0000  4 Be 2.50

Computed properties:
Formation energy in kJ/mol of formula units: 62
Size of the total moment in μB/f.u.: 0.00

=====

Record 7
VASP calculation (PBE) on crystalline Sc2BeSnTe at its relaxed geometry.

a = 5.3501 Å, b = 5.3501 Å, c = 4.4935 Å
α = 90.00°, β = 90.00°, γ = 90.00°
Last column: nearest neighbours and their distance in Å.
Element x y z (fractional)
Sc 0.0000 0.5000 0.0000  2 Te 2.68
Sc 0.5000 0.0000 0.0000  2 Te 2.68
Be 0.0000 0.0000 0.5000  2 Te 2.25
Sn 0.5000 0.5000 0.5000  8 Sc 3.49, 4 Be 3.78
Te 0.0000 0.0000 0.0000  2 Be 2.25

Computed properties:
ΔE_f (raw) in meV per atom: 219
Size of the total moment in μB/f.u.: 0.00

=====

Record 8
VASP calculation (PBE) on crystalline YScBeSn2 at its relaxed geometry.

a = 5.3125 Å, b = 5.3125 Å, c = 4.7988 Å
α = 90.00°, β = 90.00°, γ = 90.00°
Last column: nearest neighbours and their distance in Å.
Element x y z (fractional)
Y 0.0000 0.0000 0.0000  8 Sn 3.58, 4 Be 3.76
Sc 0.5000 0.5000 0.5000  2 Be 2.40, 4 Sn 2.66
Be 0.5000 0.5000 0.0000  2 Sc 2.40
Sn 0.0000 0.5000 0.5000  2 Sc 2.66
Sn 0.5000 0.0000 0.5000  2 Sc 2.66

Computed properties:
Formation energy in kJ/mol of formula units: 173
Size of the total moment in μB/f.u.: 0.00

=====

Record 9
VASP calculation (PBE) on crystalline SrSc4Be at its relaxed geometry.

a = 6.0981 Å, b = 6.0981 Å, c = 6.0981 Å
α = 60.00°, β = 60.00°, γ = 60.00°
Last column: nearest neighbours and their distance in Å.
Element x y z (fractional)
Sr 0.0000 0.0000 0.0000  12 Sc 3.58, 4 Be 3.73
Sc 0.3768 0.3768 0.3768  6 Sc 3.00-3.09
Sc 0.3768 0.3768 0.8695  6 Sc 3.00-3.09
Sc 0.3768 0.8695 0.3768  6 Sc 3.00-3.09
Sc 0.8695 0.3768 0.3768  6 Sc 3.00-3.09
Be 0.7500 0.7500 0.7500  12 Sc 3.57, 4 Sr 3.73

Computed properties:
Formation energy in kJ/mol of formula units: 348
Size of the total moment in μB/f.u.: 0.00

=====

Record 10
VASP calculation (PBE) on crystalline SrScBe at its relaxed geometry.

a = 4.4264 Å, b = 4.4264 Å, c = 4.9410 Å
α = 90.00°, β = 90.00°, γ = 120.00°
Last column: nearest neighbours and their distance in Å.
Element x y z (fractional)
Sr 0.0000 0.0000 0.0000  6 Be 3.55-3.56, 6 Sc 3.55
Sc 0.3333 0.6667 0.5000  3 Be 2.56
Be 0.6667 0.3333 0.5026  3 Sc 2.56

Computed properties:
Energy above the most stable polymorph in this dataset in kcal/mol of atoms: 4.767
Formation energy in kJ/mol of formula units: 143
Size of the total moment in μB/f.u.: 0.00

=====

Record 11
VASP calculation (PBE) on crystalline SrScBe at its relaxed geometry.

a = 4.8992 Å, b = 4.8992 Å, c = 4.8992 Å
α = 60.00°, β = 60.00°, γ = 60.00°
Last column: nearest neighbours and their distance in Å.
Element x y z (fractional)
Sr 0.0000 0.0000 0.0000  4 Be 3.00, 4 Sc 3.00
Sc 0.7500 0.7500 0.7500  4 Sr 3.00
Be 0.2500 0.2500 0.2500  4 Sr 3.00

Computed properties:
Energy above the most stable polymorph in this dataset in kcal/mol of atoms: 23.008
Formation energy in kJ/mol of formula units: 372
Size of the total moment in μB/f.u.: 0.00

=====

Record 12
VASP calculation (PBE) on crystalline SrScBe at its relaxed geometry.

a = 3.6763 Å, b = 3.6763 Å, c = 7.1092 Å
α = 90.00°, β = 90.00°, γ = 120.00°
Last column: nearest neighbours and their distance in Å.
Element x y z (fractional)
Sr 0.0000 0.0000 0.0000  3 Be 3.09
Sc 0.3333 0.6667 0.5396  3 Be 2.66
Be 0.6667 0.3333 0.3150  3 Sc 2.66

Computed properties:
Energy above the most stable polymorph in this dataset in kcal/mol of atoms: 6.065
Formation energy in kJ/mol of formula units: 159
Size of the total moment in μB/f.u.: 0.00

=====

Record 13
VASP calculation (PBE) on crystalline Sr4ScBe at its relaxed geometry.

a = 7.0987 Å, b = 7.0987 Å, c = 7.0987 Å
α = 60.00°, β = 60.00°, γ = 60.00°
Last column: nearest neighbours and their distance in Å.
Element x y z (fractional)
Sr 0.1254 0.1254 0.1254  6 Sr 3.54-3.56
Sr 0.1254 0.1254 0.6238  6 Sr 3.54-3.56
Sr 0.1254 0.6238 0.1254  6 Sr 3.54-3.56
Sr 0.6238 0.1254 0.1254  6 Sr 3.54-3.56
Sc 0.5000 0.5000 0.5000  12 Sr 4.16, 4 Be 4.35
Be 0.7500 0.7500 0.7500  12 Sr 4.16, 4 Sc 4.35

Computed properties:
Formation energy in kJ/mol of formula units: 551
Size of the total moment in μB/f.u.: 1.89

=====

Record 14
VASP calculation (PBE) on crystalline SrScBe at its relaxed geometry.

a = 4.9192 Å, b = 4.9192 Å, c = 4.9192 Å
α = 60.00°, β = 60.00°, γ = 60.00°
Last column: nearest neighbours and their distance in Å.
Element x y z (fractional)
Sr 0.0000 0.0000 0.0000  4 Be 3.01
Sc 0.5000 0.5000 0.5000  4 Be 3.01
Be 0.7500 0.7500 0.7500  4 Sc 3.01, 4 Sr 3.01

Computed properties:
Energy above the most stable polymorph in this dataset in kcal/mol of atoms: 7.079
Formation energy in kJ/mol of formula units: 172
Size of the total moment in μB/f.u.: 0.00